(1)
Computed, not measured: crystalline TbCd4Au2 at its relaxed geometry at the PBE level of DFT.

Cell and atoms, written as POSCAR:
```
TbCd4Au2
1.0
-2.9773 2.1910 -2.2852
-5.2043 -6.8196 0.2421
-3.4638 2.9024 7.2958
Cd Tb Au
8 2 4
direct
0.0000 0.8947 0.6499
0.5000 0.3947 0.8501
0.5000 0.1499 0.6053
0.0000 0.6499 0.8947
0.5000 0.6053 0.1499
0.0000 0.3501 0.1053
0.0000 0.1053 0.3501
0.5000 0.8501 0.3947
0.5000 0.0000 0.0000
0.0000 0.5000 0.5000
0.0000 0.1695 0.8305
0.5000 0.3305 0.3305
0.0000 0.8305 0.1695
0.5000 0.6695 0.6695
```

Summary:
As for the magnetic moment: 0.00 μB/f.u. Its volume is 320 Å³/cell. The calculation puts the electronic total energy at -2.46 eV/atom. For the formation energy, the calculation gives -2.353 eV per formula unit.

---

(2)
Computed, not measured: crystalline Tb2Cd6Au3 at its relaxed geometry at the PBE level of DFT.

Cell and atoms, written as POSCAR:
```
Tb2Cd6Au3
1.0
-2.3858 -3.4277 1.4308
2.9482 -4.6176 -6.1460
3.9548 0.2597 7.2166
Au Cd Tb
3 6 2
direct
0.5000 0.4107 0.4107
0.5000 0.0000 0.5893
0.5000 0.5893 0.0000
0.5000 0.7347 0.7347
0.0000 0.2066 0.2066
0.5000 0.0000 0.2653
0.0000 0.7934 0.0000
0.5000 0.2653 0.0000
0.0000 0.0000 0.7934
0.0000 0.6667 0.3333
0.0000 0.3333 0.6667
```

Summary:
As for the magnetic moment: 0.00 μB/f.u. Its volume is 259 Å³/cell. The calculation puts the electronic total energy at -2.52 eV/atom. For the formation energy, the calculation gives -3.191 eV per formula unit.